Here is Sm3Y after structural relaxation from Alexandria. Energies are from PBE.

Summary:
Space-group type = Fm-3m (225)
Polymorph energy (0 for the lowest one) = 0.122 eV per atom
Total magnetic moment = 0.0 μB/f.u.
E = -5.020 eV per atom

a b c (Å): 5.755 5.755 5.755
angles (deg): 60.00 60.00 60.00
Fractional positions:
Sm1 0.750 0.750 0.750
Sm2 0.250 0.250 0.250
Sm3 0.000 0.000 0.000
Y1 0.500 0.500 0.500